[1]
K2LaAg: optimized geometry, PBEsol.

Unit cell a=7.1224 b=7.1224 c=3.5261 alpha=90.00 beta=90.00 gamma=124.47
With the nearest neighbours (Å) after each atom.
Sites, in units of the cell vectors:
K (0.0000, 0.5000, 0.0000)  4 K 3.32-3.53
K (0.5000, 0.0000, 0.0000)  4 K 3.32-3.53
La (0.0000, 0.0000, 0.5000)  2 Ag 3.32, 2 La 3.53
Ag (0.5000, 0.5000, 0.5000)  2 La 3.32, 2 Ag 3.53

## Properties
* crystal system: orthorhombic
* calculated formation energy: 524.5 meV per atom
* volume: 36.9 A^3/atom


[2]
KLiAg2: optimized geometry, PBEsol.

Unit cell a=4.6603 b=4.6603 c=6.3803 alpha=111.03 beta=111.03 gamma=59.91
With the nearest neighbours (Å) after each atom.
Sites, in units of the cell vectors:
K (0.0000, 0.0000, 0.0000)  1 Li 3.20, 1 Ag 3.35
Li (0.8175, 0.8175, 0.4482)  6 Ag 2.74-2.80
Ag (0.1934, 0.1934, 0.5774)  3 Ag 2.70, 3 Li 2.79-2.80
Ag (0.5130, 0.5130, 0.5361)  3 Ag 2.70, 3 Li 2.74

## Properties
* crystal system: monoclinic
* calculated formation energy: 18.2 meV per atom
* volume: 27.3 A^3/atom


[3]
KLi3Ag: optimized geometry, PBEsol.

Unit cell a=5.1900 b=5.1900 c=5.1900 alpha=90.00 beta=90.00 gamma=90.00
With the nearest neighbours (Å) after each atom.
Sites, in units of the cell vectors:
K (0.0000, 0.0000, 0.0000)  12 Li 3.67
Li (0.0000, 0.5000, 0.5000)  2 Ag 2.59
Li (0.5000, 0.0000, 0.5000)  2 Ag 2.59
Li (0.5000, 0.5000, 0.0000)  2 Ag 2.59
Ag (0.5000, 0.5000, 0.5000)  6 Li 2.59

## Properties
* crystal system: cubic
* calculated formation energy: 69.3 meV per atom
* volume: 28.0 A^3/atom